# 1
Below is Tm4Tl3Pd after structural relaxation, with properties calculated at the PBE level.

M_tot	0.000	μB/cell
mass density	11171	kg/m³
space-group type	No. 25
offset from the most stable computed form	1.05	kcal/mol of atoms
density of states at the Fermi level	0.772	states/eV/atom

abc: 3.769 4.806 11.453
angles: 90.00 90.00 90.00
Sites, in units of the cell vectors:
Tm1 0.000 0.000 0.000
Tm2 0.000 0.500 0.258
Tm3 0.500 0.000 0.448
Tm4 0.500 0.500 0.770
Tl1 0.000 0.000 0.711
Tl2 0.000 0.500 0.528
Tl3 0.500 0.500 0.035
Pd1 0.500 0.000 0.202

---

# 2
Below is Tm2Tl5Pd12 after structural relaxation, with properties calculated at the PBE level.

M_tot	0.000	μB/cell
mass density	12223	kg/m³
space-group type	No. 12
total DFT energy (no corrections)	-90.04	eV per cell
density of states at the Fermi level	0.366	states/eV/atom

abc: 8.163 8.163 6.038
angles: 95.96 95.96 63.79
Sites, in units of the cell vectors:
Tm1 0.224 0.776 0.000
Tm2 0.776 0.224 0.000
Tl1 0.000 0.000 0.500
Tl2 0.244 0.244 0.522
Tl3 0.339 0.339 0.073
Tl4 0.661 0.661 0.927
Tl5 0.756 0.756 0.478
Pd1 0.037 0.561 0.798
Pd2 0.137 0.137 0.898
Pd3 0.173 0.629 0.401
Pd4 0.371 0.827 0.599
Pd5 0.439 0.963 0.202
Pd6 0.461 0.461 0.723
Pd7 0.539 0.539 0.277
Pd8 0.561 0.037 0.798
Pd9 0.629 0.173 0.401
Pd10 0.827 0.371 0.599
Pd11 0.863 0.863 0.102
Pd12 0.963 0.439 0.202

---

# 3
Below is Tm7Tl2Pd2 after structural relaxation, with properties calculated at the PBE level.

M_tot	0.000	μB/cell
mass density	9571	kg/m³
space-group type	No. 65
total DFT energy (no corrections)	-49.85	eV per cell
density of states at the Fermi level	0.889	states/eV/atom

abc: 6.822 6.822 7.036
angles: 90.00 90.00 107.07
Sites, in units of the cell vectors:
Tm1 0.000 0.000 0.000
Tm2 0.000 0.500 0.252
Tm3 0.000 0.500 0.748
Tm4 0.500 0.000 0.252
Tm5 0.500 0.000 0.748
Tm6 0.500 0.500 0.243
Tm7 0.500 0.500 0.757
Tl1 0.183 0.183 0.500
Tl2 0.817 0.817 0.500
Pd1 0.290 0.710 0.000
Pd2 0.710 0.290 0.000

---

# 4
Below is Tm2TlPd after structural relaxation, with properties calculated at the PBE level.

M_tot	0.000	μB/cell
mass density	11413	kg/m³
space-group type	No. 123
total DFT energy (no corrections)	-19.03	eV per cell
density of states at the Fermi level	0.860	states/eV/atom

abc: 3.530 3.530 7.575
angles: 90.00 90.00 90.00
Sites, in units of the cell vectors:
Tm1 0.000 0.000 0.221
Tm2 0.000 0.000 0.779
Tl1 0.500 0.500 0.500
Pd1 0.500 0.500 0.000

---

# 5
Below is Tm2TlPd after structural relaxation, with properties calculated at the PBE level.

M_tot	0.000	μB/cell
mass density	10055	kg/m³
space-group type	No. 160
total DFT energy (no corrections)	-18.45	eV per cell
density of states at the Fermi level	0.779	states/eV/atom

abc: 8.467 8.467 8.467
angles: 26.58 26.58 26.58
Sites, in units of the cell vectors:
Tm1 0.000 0.000 0.000
Tm2 0.198 0.198 0.198
Tl1 0.432 0.432 0.432
Pd1 0.598 0.598 0.598

---

# 6
Below is Tm2TlPd9 after structural relaxation, with properties calculated at the PBE level.

M_tot	0.000	μB/cell
mass density	12113	kg/m³
space-group type	No. 123
total DFT energy (no corrections)	-66.20	eV per cell
density of states at the Fermi level	0.771	states/eV/atom

abc: 4.095 4.095 12.264
angles: 90.00 90.00 90.00
Sites, in units of the cell vectors:
Tm1 0.000 0.000 0.168
Tm2 0.000 0.000 0.832
Tl1 0.000 0.000 0.500
Pd1 0.000 0.500 0.000
Pd2 0.000 0.500 0.333
Pd3 0.000 0.500 0.667
Pd4 0.500 0.000 0.000
Pd5 0.500 0.000 0.333
Pd6 0.500 0.000 0.667
Pd7 0.500 0.500 0.166
Pd8 0.500 0.500 0.500
Pd9 0.500 0.500 0.834

---

# 7
Below is Tm12TlPd6 after structural relaxation, with properties calculated at the PBE level.

M_tot	0.000	μB/cell
mass density	10064	kg/m³
space-group type	No. 204
offset from the most stable computed form	0.00	kcal/mol of atoms
density of states at the Fermi level	1.060	states/eV/atom

abc: 8.505 8.505 8.505
angles: 109.47 109.47 109.47
Sites, in units of the cell vectors:
Tm1 0.112 0.817 0.296
Tm2 0.183 0.296 0.479
Tm3 0.183 0.704 0.888
Tm4 0.296 0.112 0.817
Tm5 0.296 0.479 0.183
Tm6 0.479 0.183 0.296
Tm7 0.521 0.817 0.704
Tm8 0.704 0.521 0.817
Tm9 0.704 0.888 0.183
Tm10 0.817 0.296 0.112
Tm11 0.817 0.704 0.521
Tm12 0.888 0.183 0.704
Tl1 0.000 0.000 0.000
Pd1 0.138 0.638 0.500
Pd2 0.362 0.500 0.862
Pd3 0.500 0.138 0.638
Pd4 0.500 0.862 0.362
Pd5 0.638 0.500 0.138
Pd6 0.862 0.362 0.500

---

# 8
Below is Tm6TlPd5 after structural relaxation, with properties calculated at the PBE level.

M_tot	0.000	μB/cell
mass density	11178	kg/m³
space-group type	No. 10
total DFT energy (no corrections)	-64.90	eV per cell
density of states at the Fermi level	0.614	states/eV/atom

abc: 4.988 6.956 7.890
angles: 90.00 108.23 90.00
Sites, in units of the cell vectors:
Tm1 0.000 0.237 0.000
Tm2 0.000 0.763 0.000
Tm3 0.327 0.246 0.656
Tm4 0.327 0.754 0.656
Tm5 0.673 0.246 0.344
Tm6 0.673 0.754 0.344
Tl1 0.500 0.500 0.000
Pd1 0.163 0.500 0.323
Pd2 0.167 0.000 0.330
Pd3 0.500 0.000 0.000
Pd4 0.833 0.000 0.670
Pd5 0.837 0.500 0.677